Entry from Alexandria via LeMat-Bulk: a relaxed structure of LaAlGaGe2 (PBE).

CIF file:
```
data_LaAlGaGe2
_cell_length_a 11.7145
_cell_length_b 4.5832
_cell_length_c 8.8191
_cell_angle_alpha 90.00
_cell_angle_beta 97.83
_cell_angle_gamma 90.00
_space_group_name_H-M_alt 'C 1 2/m 1'
_space_group_IT_number 12
_space_group_name_Hall '-C 2y'
loop_
_atom_site_label
_atom_site_fract_x
_atom_site_fract_y
_atom_site_fract_z
La1 0.1577 0.0000 0.2084
Al1 0.0568 0.5000 0.7510
Ga1 0.1547 0.0000 0.5804
Ge1 0.1217 0.5000 0.4540
Ge2 0.1292 0.0000 0.8594
```

- density of states at the Fermi level (states/eV per cell) = 8.483
- ΔH_f (0 K) (eV per atom) = -0.315
- total DFT energy (no corrections) (eV per atom) = -4.501